SrY2PtO5, relaxed, DFT PBE; SG = P4/mbm, No. 127; calculated volume = 14.02 Å³/atom; raw formation energy = -2640 meV/atom; E = -7.689 eV/atom; M_tot = 0.000 μB/cell
1.0
6.5420 0.0000 0.0000
0.0000 6.5420 0.0000
0.0000 0.0000 5.8958
Sr Y Pt O
2 4 2 10
Cartesian
0.0000 0.0000 0.0000 Sr
3.2710 3.2710 0.0000 Sr
1.1385 2.1325 2.9479 Y
2.1325 5.4035 2.9479 Y
4.4095 1.1385 2.9479 Y
5.4035 4.4095 2.9479 Y
0.0000 3.2710 0.0000 Pt
3.2710 0.0000 0.0000 Pt
0.0000 0.0000 2.9479 O
0.9309 4.2019 1.5235 O
0.9309 4.2019 4.3722 O
2.3400 0.9309 1.5235 O
2.3400 0.9309 4.3722 O
3.2710 3.2710 2.9479 O
4.2019 5.6110 1.5235 O
4.2019 5.6110 4.3722 O
5.6110 2.3400 1.5235 O
5.6110 2.3400 4.3722 O

SrZnPtO4, relaxed, DFT PBE; SG = Cmcm, No. 63; calculated volume = 15.33 Å³/atom; raw formation energy = -1081 meV/atom; E = -5.199 eV/atom; M_tot = 4.182 μB/cell
1.0
3.1174 -4.7139 0.0000
3.1174 4.7139 0.0000
0.0000 0.0000 7.3017
Sr Zn Pt O
2 2 2 8
Cartesian
0.0000 0.0000 0.0000 Sr
0.0000 0.0000 3.6509 Sr
3.1174 1.2248 5.4763 Zn
3.1174 -1.2248 1.8254 Zn
3.1174 1.7244 1.8254 Pt
3.1174 -1.7244 5.4763 Pt
1.6918 0.1766 1.8254 O
3.1174 2.1266 3.7171 O
3.1174 2.1266 7.2354 O
1.6918 -0.1766 5.4763 O
4.5429 0.1766 1.8254 O
3.1174 -2.1266 0.0663 O
3.1174 -2.1266 3.5846 O
4.5429 -0.1766 5.4763 O

Sr2ZnPtO4, relaxed, DFT PBE; SG = I-4, No. 82; calculated volume = 15.01 Å³/atom; raw formation energy = -1742 meV/atom; E = -5.556 eV/atom; M_tot = 0.000 μB/cell
1.0
-3.0535 3.0535 3.2204
3.0535 -3.0535 3.2204
3.0535 3.0535 -3.2204
Sr Zn Pt O
2 1 1 4
Cartesian
0.0000 0.0000 0.0000 Sr
0.0000 3.0535 1.6102 Sr
0.0000 0.0000 3.2204 Zn
3.0535 0.0000 1.6102 Pt
1.2503 -0.9866 1.9168 O
1.8032 4.0401 -1.3035 O
2.0669 1.8032 1.3035 O
0.9866 1.2503 4.5239 O

Sr2ZrPt3O12, relaxed, DFT PBE; SG = R-3m, No. 166; calculated volume = 14.40 Å³/atom; raw formation energy = -1303 meV/atom; E = -6.277 eV/atom; M_tot = 2.366 μB/cell
1.0
3.5884 2.0718 5.8125
-3.5884 2.0718 5.8125
0.0000 -4.1436 5.8125
Sr Zr Pt O
2 1 3 12
Cartesian
0.0000 0.0000 2.2084 Sr
0.0000 0.0000 15.2291 Sr
0.0000 0.0000 8.7187 Zr
-1.7942 -1.0359 5.8125 Pt
-1.7942 1.0359 11.6250 Pt
0.0000 2.0718 5.8125 Pt
-1.6601 -0.9584 7.7944 O
0.0000 -1.8001 5.5816 O
-1.5589 0.9000 5.5816 O
-1.5589 -0.9000 11.8559 O
0.0000 -1.9169 9.6430 O
-1.6601 0.9584 9.6430 O
1.6601 -0.9584 7.7944 O
0.0000 1.9169 7.7944 O
1.5589 0.9000 5.5816 O
1.5589 -0.9000 11.8559 O
0.0000 1.8001 11.8559 O
1.6601 0.9584 9.6430 O

TaPtO3, relaxed, DFT PBE; SG = Pm-3m, No. 221; calculated volume = 12.48 Å³/atom; raw formation energy = -1276 meV/atom; E = -7.830 eV/atom; M_tot = 1.017 μB/cell
1.0
3.9661 0.0000 0.0000
0.0000 3.9661 0.0000
0.0000 0.0000 3.9661
Ta Pt O
1 1 3
Cartesian
0.0000 0.0000 0.0000 Ta
1.9830 1.9830 1.9830 Pt
0.0000 0.0000 1.9830 O
0.0000 1.9830 0.0000 O
1.9830 0.0000 0.0000 O

TaPt2O, relaxed, DFT PBE; SG = I-42d, No. 122; calculated volume = 17.90 Å³/atom; raw formation energy = 38 meV/atom; E = -7.185 eV/atom; M_tot = 0.000 μB/cell
1.0
-2.9630 2.9630 4.0779
2.9630 -2.9630 4.0779
2.9630 2.9630 -4.0779
Ta Pt O
2 4 2
Cartesian
0.0000 0.0000 0.0000 Ta
0.0000 2.9630 2.0390 Ta
1.4815 -1.2447 3.0584 Pt
1.7183 1.4815 1.0195 Pt
1.4815 4.2077 -1.0195 Pt
1.2447 1.4815 5.0974 Pt
2.9630 0.0000 2.0390 O
0.0000 0.0000 4.0779 O